Record 1
DFT (PBE) results for a geometry-optimized Cd5Bi12Pb3 structure.

Unit cell a=16.5003 b=16.5003 c=16.5003 alpha=109.47 beta=109.47 gamma=109.47
Atoms (fractional coordinates):
Bi1 0.9318 0.8620 0.7846
Bi2 0.2154 0.6380 0.0682
Bi3 0.1471 0.7154 0.5773
Pb1 0.3750 0.6250 0.2500
Bi4 0.2154 0.5773 0.6471
Bi5 0.6471 0.5698 0.9318
Bi6 0.1380 0.0698 0.9227
Pb2 0.7500 0.8750 0.6250
Bi7 0.4302 0.0773 0.3620
Bi8 0.0682 0.9302 0.3529
Bi9 0.3529 0.4302 0.0682
Bi10 0.6471 0.0773 0.2154
Bi11 0.9302 0.8620 0.5773
Bi12 0.9318 0.0698 0.6471
Bi13 0.7154 0.1471 0.0773
Bi14 0.4318 0.1471 0.5698
Pb3 0.8750 0.7500 0.1250
Cd1 0.5000 0.5000 0.5000
Cd2 0.1250 0.3750 0.2500
Cd3 0.6250 0.7500 0.8750
Pb4 0.2500 0.1250 0.3750
Pb5 0.2500 0.6250 0.8750
Cd4 0.7500 0.1250 0.8750
Bi15 0.5773 0.3620 0.9302
Bi16 0.8529 0.2846 0.4227
Bi17 0.0682 0.1380 0.2154
Pb6 0.1250 0.2500 0.8750
Bi18 0.1380 0.0682 0.7154
Pb7 0.3750 0.7500 0.6250
Bi19 0.6380 0.2154 0.5682
Cd5 0.8750 0.2500 0.6250
Cd6 0.8750 0.6250 0.7500
Pb8 0.1250 0.8750 0.7500
Bi20 0.8620 0.9318 0.2846
Pb9 0.8750 0.1250 0.2500
Bi21 0.7846 0.3620 0.9318
Cd7 0.0000 0.5000 0.5000
Bi22 0.4318 0.2846 0.3620
Cd8 0.5000 0.0000 0.0000
Bi23 0.9227 0.5698 0.1380
Bi24 0.0773 0.6471 0.7154
Bi25 0.7846 0.4227 0.3529
Bi26 0.5698 0.6471 0.4318
Bi27 0.4302 0.3529 0.5682
Cd9 0.3750 0.1250 0.7500
Cd10 0.2500 0.8750 0.1250
Pb10 0.6250 0.2500 0.3750
Bi28 0.5698 0.9227 0.6380
Bi29 0.7154 0.5682 0.1380
Bi30 0.8529 0.5682 0.9302
Pb11 0.7500 0.3750 0.1250
Bi31 0.4227 0.7846 0.8529
Bi32 0.5773 0.2154 0.1471
Bi33 0.3620 0.7846 0.4318
Cd11 0.0000 0.0000 0.5000
Bi34 0.0698 0.1380 0.4227
Cd12 0.5000 0.0000 0.5000
Bi35 0.5682 0.8529 0.4302
Cd13 0.2500 0.3750 0.6250
Bi36 0.5682 0.7154 0.6380
Bi37 0.1471 0.4318 0.0698
Bi38 0.4227 0.6380 0.0698
Cd14 0.0000 0.5000 0.0000
Pb12 0.6250 0.3750 0.7500
Cd15 0.5000 0.5000 0.0000
Bi39 0.8620 0.9302 0.0773
Cd16 0.0000 0.0000 0.0000
Bi40 0.2846 0.4318 0.8620
Cd17 0.6250 0.8750 0.2500
Bi41 0.3529 0.9227 0.7846
Bi42 0.6380 0.4227 0.5698
Cd18 0.7500 0.6250 0.3750
Cd19 0.1250 0.7500 0.3750
Bi43 0.3620 0.5773 0.4302
Bi44 0.0773 0.4302 0.8620
Bi45 0.9227 0.3529 0.2846
Bi46 0.0698 0.9318 0.1471
Cd20 0.3750 0.2500 0.1250
Bi47 0.9302 0.0682 0.8529
Bi48 0.2846 0.8529 0.9227

- Space group: No. 230

---

Record 2
DFT (PBE) results for a geometry-optimized CdBi2Pb structure.

Unit cell a=4.1472 b=4.1472 c=6.9977 alpha=90.00 beta=90.00 gamma=90.00
Atoms (fractional coordinates):
Bi1 0.0000 0.0000 0.7662
Pb1 0.5000 0.5000 0.5000
Cd1 0.5000 0.5000 0.0000
Bi2 0.0000 0.0000 0.2338

- Space group: No. 123

---

Record 3
DFT (PBE) results for a geometry-optimized CdBi2Pb9 structure.

Unit cell a=6.0381 b=6.0381 c=10.3502 alpha=90.00 beta=90.00 gamma=90.00
Atoms (fractional coordinates):
Pb1 0.0000 0.5000 0.8347
Pb2 0.5000 0.0000 0.8347
Pb3 0.5000 0.0000 0.1653
Pb4 0.5000 0.5000 0.0000
Pb5 0.0000 0.5000 0.1653
Cd1 0.0000 0.0000 0.0000
Pb6 0.5000 0.5000 0.3317
Pb7 0.5000 0.5000 0.6683
Pb8 0.5000 0.0000 0.5000
Bi1 0.0000 0.0000 0.6819
Pb9 0.0000 0.5000 0.5000
Bi2 0.0000 0.0000 0.3181

- Space group: No. 123

---

Record 4
DFT (PBE) results for a geometry-optimized Cd2Bi2Pb7 structure.

Unit cell a=4.9987 b=9.0297 c=9.0297 alpha=64.91 beta=73.93 gamma=73.93
Atoms (fractional coordinates):
Bi1 0.3282 0.2993 0.0443
Pb1 0.3480 0.7716 0.5324
Pb2 0.8342 0.0479 0.2837
Pb3 0.8604 0.5038 0.7755
Pb4 0.1396 0.2245 0.4962
Cd1 0.0000 0.6365 0.3635
Pb5 0.1658 0.7163 0.9521
Bi2 0.6718 0.9557 0.7007
Cd2 0.5000 0.3382 0.6618
Pb6 0.6520 0.4676 0.2284
Pb7 0.5000 0.8925 0.1075

- Relative energy among the computed polymorphs: 0.00 eV per formula unit
- Space group: No. 44

---

Record 5
DFT (PBE) results for a geometry-optimized Cd2Bi5Pb4 structure.

Unit cell a=6.7857 b=6.5869 c=8.8181 alpha=111.93 beta=105.55 gamma=90.00
Atoms (fractional coordinates):
Bi1 0.5000 0.0000 0.0000
Pb1 0.3787 0.5737 0.1475
Pb2 0.6213 0.4263 0.8525
Cd1 0.2109 0.2639 0.5278
Bi2 0.0426 0.1526 0.8069
Bi3 0.0426 0.6543 0.8069
Bi4 0.9574 0.3457 0.1931
Cd2 0.7891 0.7361 0.4722
Bi5 0.9574 0.8474 0.1931
Pb3 0.6333 0.2161 0.4322
Pb4 0.3667 0.7839 0.5678

- Space group: No. 12

---

Record 6
DFT (PBE) results for a geometry-optimized CdBi3Pb5 structure.

Unit cell a=9.4822 b=9.4822 c=9.8482 alpha=63.63 beta=63.63 gamma=61.72
Atoms (fractional coordinates):
Pb1 0.4642 0.4642 0.7550
Pb2 0.6787 0.3213 0.0000
Pb3 0.9334 0.3836 0.2542
Cd1 0.8751 0.8751 0.3614
Bi1 0.3118 0.3118 0.2454
Pb4 0.7936 0.7936 0.0252
Bi2 0.6729 0.6729 0.4316
Bi3 0.0000 0.0000 0.0000
Pb5 0.3836 0.9334 0.2542
Pb6 0.0666 0.6164 0.7458
Bi4 0.3271 0.3271 0.5684
Pb7 0.3213 0.6787 0.0000
Bi5 0.0000 0.0000 0.5000
Cd2 0.1249 0.1249 0.6386
Pb8 0.5358 0.5358 0.2450
Pb9 0.6164 0.0666 0.7458
Bi6 0.6882 0.6882 0.7546
Pb10 0.2064 0.2064 0.9748

- Space group: No. 12

---

Record 7
DFT (PBE) results for a geometry-optimized CdBi2Pb5 structure.

Unit cell a=3.5339 b=8.2684 c=16.8848 alpha=90.00 beta=90.00 gamma=90.00
Atoms (fractional coordinates):
Bi1 0.5000 0.7754 0.3793
Pb1 0.5000 0.7740 0.6205
Cd1 0.0000 0.5000 0.0000
Bi2 0.5000 0.2246 0.6207
Pb2 0.0000 0.0000 0.0000
Pb3 0.0000 0.4989 0.2637
Pb4 0.5000 0.2740 0.8795
Pb5 0.0000 0.5011 0.7363
Pb6 0.0000 0.5000 0.5000
Bi3 0.5000 0.2754 0.1207
Pb7 0.5000 0.7260 0.1205
Bi4 0.5000 0.7246 0.8793
Pb8 0.0000 0.9989 0.2363
Cd2 0.0000 0.0000 0.5000
Pb9 0.0000 0.0011 0.7637
Pb10 0.5000 0.2260 0.3795

- Relative energy among the computed polymorphs: 0.00 eV per formula unit
- Space group: No. 55

---

Record 8
DFT (PBE) results for a geometry-optimized Cd2Bi4Pb3 structure.

Unit cell a=5.7736 b=4.5967 c=14.0695 alpha=101.85 beta=89.81 gamma=51.65
Atoms (fractional coordinates):
Bi1 0.9960 0.0097 0.3257
Bi2 0.6626 0.6736 0.8809
Bi3 0.0040 0.9903 0.6743
Cd1 0.3324 0.3355 0.7822
Cd2 0.6676 0.6645 0.2178
Pb1 0.3349 0.3273 0.4335
Pb2 0.6651 0.6727 0.5665
Bi4 0.3374 0.3264 0.1191
Pb3 0.0000 0.0000 0.0000

- Space group: No. 2

---

Record 9
DFT (PBE) results for a geometry-optimized CdBiPb6 structure.

Unit cell a=5.0836 b=5.0836 c=9.5568 alpha=90.00 beta=90.00 gamma=90.00
Atoms (fractional coordinates):
Pb1 0.5000 0.5000 0.0000
Pb2 0.5000 0.5000 0.5000
Cd1 0.0000 0.0000 0.5000
Pb3 0.5000 0.0000 0.2527
Pb4 0.0000 0.5000 0.7473
Bi1 0.0000 0.0000 0.0000
Pb5 0.5000 0.0000 0.7473
Pb6 0.0000 0.5000 0.2527

- Space group: No. 123

---

Record 10
DFT (PBE) results for a geometry-optimized CdBi2Pb6 structure.

Unit cell a=6.0064 b=9.5761 c=10.0461 alpha=90.00 beta=89.72 gamma=90.00
Atoms (fractional coordinates):
Pb1 0.5674 0.1769 0.9613
Pb2 0.0734 0.0422 0.8242
Pb3 0.9394 0.7041 0.9145
Pb4 0.4394 0.7959 0.4145
Pb5 0.0606 0.2959 0.0855
Pb6 0.9326 0.6769 0.5387
Pb7 0.5606 0.2041 0.5855
Pb8 0.9266 0.9578 0.1758
Bi1 0.0776 0.6073 0.2248
Bi2 0.4224 0.1073 0.2752
Bi3 0.5776 0.8927 0.7248
Pb9 0.4266 0.5422 0.6758
Pb10 0.0674 0.3231 0.4613
Pb11 0.4326 0.8231 0.0387
Bi4 0.9224 0.3927 0.7752
Pb12 0.5734 0.4578 0.3242
Cd1 0.0000 0.0000 0.5000
Cd2 0.5000 0.5000 0.0000

- Relative energy among the computed polymorphs: 0.19 eV per formula unit
- Space group: No. 14

---

Record 11
DFT (PBE) results for a geometry-optimized Cd2Bi5Pb12 structure.

Unit cell a=9.6901 b=8.4469 c=8.8636 alpha=90.77 beta=123.14 gamma=90.00
Atoms (fractional coordinates):
Pb1 0.1737 0.6677 0.7597
Pb2 0.9696 0.7562 0.3071
Pb3 0.6625 0.2438 0.6929
Bi1 0.7721 0.5526 0.5442
Pb4 0.1028 0.1011 0.2055
Pb5 0.4140 0.3323 0.2403
Bi2 0.6854 0.0270 0.3709
Pb6 0.3375 0.7562 0.3071
Pb7 0.4351 0.3244 0.8702
Pb8 0.0304 0.2438 0.6929
Pb9 0.8972 0.8989 0.7945
Cd1 0.3045 0.0000 0.0000
Pb10 0.5649 0.6756 0.1298
Bi3 0.3146 0.9730 0.6291
Cd2 0.6955 0.0000 0.0000
Pb11 0.5860 0.6677 0.7597
Pb12 0.8263 0.3323 0.2403
Bi4 0.0000 0.5000 0.0000
Bi5 0.2279 0.4474 0.4558

- Relative energy among the computed polymorphs: 0.00 eV per formula unit
- Space group: No. 12

---

Record 12
DFT (PBE) results for a geometry-optimized CdBiPb structure.

Unit cell a=3.4136 b=5.5279 c=11.4305 alpha=90.00 beta=124.25 gamma=89.99
Atoms (fractional coordinates):
Pb1 0.7308 0.2911 0.5262
Cd1 0.7725 0.2911 0.8223
Cd2 0.4723 0.7911 0.6900
Bi1 0.8231 0.7911 0.3651
Pb2 0.5140 0.7911 0.9861
Bi2 0.4217 0.2911 0.1472

- Space group: No. 11

---

Record 13
DFT (PBE) results for a geometry-optimized CdBi3Pb structure.

Unit cell a=5.1110 b=8.6270 c=14.8690 alpha=90.00 beta=78.88 gamma=90.00
Atoms (fractional coordinates):
Bi1 0.3797 0.3892 0.1691
Cd1 0.5469 0.8115 0.1314
Bi2 0.3182 0.9045 0.7522
Bi3 0.6665 0.4176 0.5719
Cd2 0.9531 0.3115 0.3686
Pb1 0.8150 0.3513 0.9825
Bi4 0.3335 0.5824 0.4281
Pb2 0.1850 0.6487 0.0175
Cd3 0.4531 0.1885 0.8686
Bi5 0.1203 0.8892 0.3309
Bi6 0.8797 0.1108 0.6691
Bi7 0.6203 0.6108 0.8309
Bi8 0.8335 0.9176 0.9281
Bi9 0.6818 0.0955 0.2478
Bi10 0.8182 0.5955 0.2522
Pb3 0.6850 0.8513 0.5175
Cd4 0.0469 0.6885 0.6314
Bi11 0.1665 0.0824 0.0719
Pb4 0.3150 0.1487 0.4825
Bi12 0.1818 0.4045 0.7478

- Relative energy among the computed polymorphs: 0.00 eV per formula unit
- Space group: No. 14

---

Record 14
DFT (PBE) results for a geometry-optimized Cd3BiPb structure.

Unit cell a=4.3849 b=4.3849 c=8.0070 alpha=105.89 beta=105.89 gamma=90.00
Atoms (fractional coordinates):
Cd1 0.2770 0.7770 0.5541
Cd2 0.4122 0.4122 0.8244
Pb1 0.0061 0.0061 0.0122
Cd3 0.7770 0.2770 0.5541
Bi1 0.6179 0.6179 0.2358

- Relative energy among the computed polymorphs: 0.11 eV per formula unit
- Space group: No. 107

---

Record 15
DFT (PBE) results for a geometry-optimized Cd2Bi5Pb2 structure.

Unit cell a=5.7770 b=11.7920 c=5.8623 alpha=119.84 beta=119.52 gamma=90.00
Atoms (fractional coordinates):
Bi1 0.4253 0.6498 0.8506
Pb1 0.3475 0.0204 0.6951
Cd1 0.2197 0.3212 0.4393
Pb2 0.6525 0.9796 0.3049
Bi2 0.0000 0.0000 0.0000
Bi3 0.5747 0.3502 0.1494
Bi4 0.1066 0.6619 0.2132
Bi5 0.8934 0.3381 0.7868
Cd2 0.7803 0.6788 0.5607

- Space group: No. 12

---

Record 16
DFT (PBE) results for a geometry-optimized CdBi2Pb structure.

Unit cell a=4.5057 b=4.5057 c=7.7429 alpha=73.08 beta=73.08 gamma=60.00
Atoms (fractional coordinates):
Bi1 0.7422 0.7422 0.7735
Cd1 0.0000 0.0000 0.0000
Pb1 0.5000 0.5000 0.5000
Bi2 0.2578 0.2578 0.2265

- Space group: No. 166

---

Record 17
DFT (PBE) results for a geometry-optimized CdBi2Pb structure.

Unit cell a=4.8080 b=4.8080 c=7.1741 alpha=70.42 beta=70.42 gamma=60.00
Atoms (fractional coordinates):
Bi1 0.2611 0.2611 0.2166
Bi2 0.0719 0.0719 0.7842
Cd1 0.6692 0.6692 0.9925
Pb1 0.4978 0.4978 0.5067

- Space group: No. 160

---

Record 18
DFT (PBE) results for a geometry-optimized Cd5Bi6Pb4 structure.

Unit cell a=4.7505 b=11.3330 c=17.9958 alpha=90.00 beta=90.00 gamma=102.10
Atoms (fractional coordinates):
Bi1 0.2474 0.4948 0.7557
Pb1 0.9840 0.9681 0.0122
Pb2 0.0497 0.0994 0.8010
Bi2 0.7526 0.5052 0.2557
Pb3 0.0160 0.0319 0.5122
Bi3 0.2074 0.4148 0.4592
Pb4 0.9503 0.9006 0.3010
Bi4 0.5846 0.1693 0.9347
Bi5 0.7926 0.5852 0.9592
Pb5 0.8091 0.6182 0.4261
Bi6 0.4378 0.8756 0.1476
Bi7 0.1159 0.2317 0.0939
Bi8 0.8841 0.7683 0.5939
Cd1 0.4246 0.8491 0.6890
Cd2 0.6605 0.3209 0.7762
Bi9 0.5493 0.0986 0.3569
Bi10 0.5622 0.1244 0.6476
Bi11 0.4154 0.8307 0.4347
Cd3 0.2925 0.5851 0.5914
Cd4 0.1539 0.3079 0.6271
Cd5 0.8461 0.6921 0.1271
Cd6 0.5754 0.1509 0.1890
Pb6 0.8532 0.7064 0.7858
Cd7 0.3691 0.7381 0.9987
Cd8 0.7075 0.4149 0.0914
Bi12 0.4507 0.9014 0.8569
Cd9 0.3395 0.6791 0.2762
Cd10 0.6309 0.2619 0.4987
Pb7 0.1468 0.2936 0.2858
Pb8 0.1909 0.3818 0.9261

- Space group: No. 36

---

no.,ΔE_f (kJ per mole of atoms),total moment (μB/atom)
1,24,0.00
2,7,0.00
3,4,0.00
4,5,0.00
5,10,0.00
6,14,0.00
7,5,0.00
8,5,0.00
9,4,0.00
10,5,0.00
11,6,0.00
12,4,0.00
13,9,0.00
14,7,0.00
15,6,0.00
16,10,0.00
17,9,0.00
18,4,0.00